Record 1
AgRhIO2 | Alexandria via LeMat-Bulk | PBE | optimized geometry; raw formation energy = -105 meV/atom; excess energy over the best structure of this formula in the dataset = 0 meV/atom
1.0
-0.273 -2.321 3.067
-2.707 -2.069 -1.806
5.564 -4.643 -3.019
I Rh O Ag
1 1 2 1
Cartesian
2.782 -2.321 -1.510 I
0.000 0.000 0.000 Rh
-1.353 -1.034 -0.903 O
-0.136 -1.161 1.533 O
1.292 -4.516 -0.879 Ag

Record 2
Er3TiIn3Te8 | Alexandria via LeMat-Bulk | PBE | optimized geometry; raw formation energy = -877 meV/atom
1.0
-4.604 3.746 -6.156
-3.091 -6.841 4.088
0.188 8.129 4.807
Er Ti In Te
3 1 3 8
Cartesian
-2.208 5.937 -0.675 Er
-3.754 2.517 1.369 Er
-1.452 0.644 4.447 Er
0.094 4.064 2.403 Ti
0.000 0.000 0.000 In
-1.546 -3.420 2.044 In
-3.848 -1.548 -1.034 In
-2.744 -0.318 1.858 Te
-4.764 5.352 0.880 Te
-5.204 1.505 -1.132 Te
-2.304 3.529 3.870 Te
-3.558 5.148 -3.309 Te
-3.950 -0.114 6.047 Te
-1.106 3.153 -0.031 Te
-6.402 1.881 2.769 Te

Record 3
Cd2GaHg8 | Alexandria via LeMat-Bulk | PBE | optimized geometry; excess energy over the best structure of this formula in the dataset = 0 meV/atom
1.0
-0.516 1.356 -3.308
1.479 -4.769 -2.185
-14.959 -0.065 4.276
Hg Ga Cd
8 1 2
Cartesian
-2.260 -1.234 -2.125 Hg
-9.440 -4.066 -0.195 Hg
-6.869 -0.811 0.738 Hg
-0.281 -3.572 -1.420 Hg
-7.126 -2.668 -1.955 Hg
-4.555 0.587 -1.022 Hg
-11.735 -2.245 0.909 Hg
-13.714 0.093 0.203 Hg
-0.258 0.678 -1.654 Ga
-4.381 -2.743 -0.441 Cd
-9.614 -0.736 -0.775 Cd

Record 4
VASP calculation (PBE) on crystalline La5Hg2Pb5 at its relaxed geometry.

```
La5Hg2Pb5
1.0
4.756 0.000 1.073
2.467 8.587 0.143
0.361 -0.963 9.478
La Hg Pb
5 2 5
Cartesian
1.414 3.812 4.811 La
5.361 5.154 9.470 La
4.190 7.767 3.582 La
3.394 -0.144 7.112 La
2.223 2.469 1.224 La
3.354 3.130 7.288 Hg
4.230 4.494 3.406 Hg
4.050 1.522 4.205 Pb
5.466 1.836 9.005 Pb
2.118 5.787 1.690 Pb
3.534 6.101 6.490 Pb
0.000 0.000 0.000 Pb
```

| no. | uncorrected energy (eV per atom) |
| --- | --- |
| 1 | -4.44 |
| 2 | -4.54 |
| 3 | -0.63 |
| 4 | -4.18 |